[1]
DFT (PBE) results for TaCd2Pd2 after structural relaxation.

Output
Raw total energy in eV per atom: -4.788
Formation enthalpy at 0 K in eV per atom: 0.026
Calculated volume in Å³ per cell: 188.2

Cell: 6.8056 6.8056 4.0634 Å, 90.00 90.00 90.00°
With the nearest neighbours (Å) after each atom.
Space group P4/mbm (No. 127)
One atom of each set of equivalent atoms:
1 Ta 0.0000 0.0000 0.0000 [2 per cell]  4 Pd 2.63
2 Cd 0.1646 0.3354 0.5000 [4 per cell]  6 Pd 2.77-2.90
3 Pd 0.1393 0.6393 0.0000 [4 per cell]  2 Ta 2.63, 1 Pd 2.68, 6 Cd 2.77-2.90

=====

[2]
DFT (PBE) results for Ta2TlCdPd after structural relaxation.

Output
Raw total energy in eV per atom: -5.229
Formation enthalpy at 0 K in eV per atom: 1.206
Calculated volume in Å³ per cell: 122.9

Cell: 4.9332 4.9332 5.0513 Å, 90.00 90.00 90.00°
With the nearest neighbours (Å) after each atom.
Space group P4/mmm (No. 123)
One atom of each set of equivalent atoms:
1 Ta 0.0000 0.5000 0.0000 [2 per cell]  2 Pd 2.47
2 Tl 0.0000 0.0000 0.5000 [1 per cell]  2 Pd 2.53
3 Cd 0.5000 0.5000 0.5000 [1 per cell]  4 Tl 3.49, 8 Ta 3.53
4 Pd 0.0000 0.0000 0.0000 [1 per cell]  4 Ta 2.47, 2 Tl 2.53

=====

[3]
DFT (PBE) results for Tb12CdPd6 after structural relaxation.

Output
Offset from the most stable computed form in kJ/mol of formula units: 0.0
Raw total energy in eV per atom: -5.190
Formation enthalpy at 0 K in eV per atom: -0.577
Calculated volume in Å³ per cell: 998.8

Cell: 9.9959 9.9959 9.9959 Å, 90.00 90.00 90.00°
With the nearest neighbours (Å) after each atom.
Space group Im-3 (No. 204)
One atom of each set of equivalent atoms:
1 Tb 0.0000 0.1830 0.2967 [24 per cell]  1 Pd 2.72
2 Cd 0.0000 0.0000 0.0000 [2 per cell]  12 Tb 3.48
3 Pd 0.0000 0.3636 0.5000 [12 per cell]  2 Tb 2.72, 1 Pd 2.73